GGA-PBE KRb2Ge2, optimized geometry; energy = -2.460 eV/atom; crystal system = tetragonal; total magnetization = 0.12 μB/atom; space group = P4/mbm, No. 127; ΔE_f = -0.0060 eV per atom
1.0
8.949 0.000 0.000
0.000 8.949 0.000
0.000 0.000 5.515
K Rb Ge
2 4 4
Direct
0.000 0.000 0.000
0.500 0.500 0.000
0.181 0.319 0.500
0.319 0.819 0.500
0.681 0.181 0.500
0.819 0.681 0.500
0.092 0.592 0.000
0.408 0.092 0.000
0.592 0.908 0.000
0.908 0.408 0.000

---

GGA-PBE K2Rb5Ge4, optimized geometry; energy = -2.277 eV/atom; crystal system = monoclinic; total magnetization = 0.06 μB/atom; space group = C2/m, No. 12; ΔE_f = 0.0414 eV per atom
1.0
7.919 -3.797 0.000
7.919 3.797 0.000
-4.042 0.000 9.180
K Rb Ge
2 5 4
Direct
0.249 0.249 0.390
0.751 0.751 0.610
0.000 0.000 0.500
0.156 0.642 0.089
0.358 0.844 0.911
0.642 0.156 0.089
0.844 0.358 0.911
0.236 0.236 0.750
0.387 0.387 0.767
0.613 0.613 0.233
0.764 0.764 0.250

---

GGA-PBE K2Rb2Ge, optimized geometry; energy = -1.555 eV/atom; crystal system = tetragonal; total magnetization = 0.03 μB/atom; space group = P4/mbm, No. 127; ΔE_f = 0.1941 eV per atom
1.0
8.955 0.000 0.000
0.000 8.955 0.000
0.000 0.000 7.131
K Rb Ge
4 4 2
Direct
0.161 0.339 0.000
0.339 0.839 0.000
0.661 0.161 0.000
0.839 0.661 0.000
0.197 0.697 0.500
0.303 0.197 0.500
0.697 0.803 0.500
0.803 0.303 0.500
0.000 0.000 0.000
0.500 0.500 0.000

---

GGA-PBE KRbGe, optimized geometry; energy = -2.275 eV/atom; crystal system = trigonal; total magnetization = 0.00 μB/atom; space group = R-3m, No. 166; ΔE_f = -0.0480 eV per atom
1.0
3.025 1.747 8.166
-3.025 1.747 8.166
0.000 -3.493 8.166
K Rb Ge
2 2 2
Direct
0.128 0.128 0.128
0.872 0.872 0.872
0.296 0.296 0.296
0.704 0.704 0.704
0.451 0.451 0.451
0.549 0.549 0.549

---

GGA-PBE KRbGe, optimized geometry; energy = -2.292 eV/atom; crystal system = triclinic; total magnetization = 0.00 μB/atom; space group = P-1, No. 2; ΔE_f = -0.0642 eV per atom
1.0
4.233 0.000 0.000
0.004 7.009 0.000
0.095 2.105 9.787
K Rb Ge
2 2 2
Direct
0.246 0.343 0.155
0.754 0.657 0.845
0.257 0.205 0.668
0.743 0.795 0.332
0.250 0.895 0.027
0.750 0.105 0.973

---

GGA-PBE KRbGe, optimized geometry; energy = -2.048 eV/atom; crystal system = orthorhombic; total magnetization = 0.27 μB/atom; space group = Fddd, No. 70; ΔE_f = 0.1792 eV per atom
1.0
0.000 6.083 11.893
3.567 0.000 11.893
3.567 6.083 0.000
K Rb Ge
4 4 4
Direct
0.032 0.718 0.032
0.282 0.968 0.282
0.718 0.032 0.718
0.968 0.282 0.968
0.288 0.288 0.462
0.462 0.462 0.288
0.538 0.538 0.712
0.712 0.712 0.538
0.003 0.003 0.747
0.253 0.253 0.997
0.747 0.747 0.003
0.997 0.997 0.253

---

GGA-PBE KRbGe, optimized geometry; energy = -2.288 eV/atom; crystal system = triclinic; total magnetization = 0.00 μB/atom; space group = P1, No. 1; ΔE_f = -0.0607 eV per atom
1.0
4.220 0.000 0.000
0.006 7.159 0.000
0.202 2.168 9.594
K Rb Ge
2 2 2
Direct
0.000 0.000 0.000
0.023 0.864 0.512
0.506 0.542 0.844
0.530 0.410 0.344
0.014 0.296 0.650
0.512 0.089 0.703

---

GGA-PBE KRbGe, optimized geometry; energy = -2.278 eV/atom; crystal system = monoclinic; total magnetization = 0.00 μB/atom; space group = Cm, No. 8; ΔE_f = -0.0505 eV per atom
1.0
11.838 -2.871 0.000
11.838 2.871 0.000
-0.736 0.000 4.129
K Rb Ge
2 2 2
Direct
0.000 0.000 0.000
0.249 0.249 0.749
0.391 0.391 0.389
0.641 0.641 0.645
0.777 0.777 0.277
0.839 0.839 0.839

---

GGA-PBE KRbGe, optimized geometry; energy = -2.277 eV/atom; crystal system = monoclinic; total magnetization = 0.00 μB/atom; space group = Cm, No. 8; ΔE_f = -0.0499 eV per atom
1.0
11.531 -2.877 0.000
11.531 2.877 0.000
-0.003 0.000 4.167
K Rb Ge
2 2 2
Direct
0.000 0.000 0.000
0.131 0.131 0.500
0.393 0.393 0.009
0.739 0.739 0.509
0.533 0.533 0.502
0.598 0.598 0.002

---

GGA-PBE KRb2Ge2, optimized geometry; energy = -2.434 eV/atom; crystal system = tetragonal; total magnetization = 0.00 μB/atom; space group = I4/mmm, No. 139; ΔE_f = 0.0192 eV per atom
1.0
-2.787 2.787 7.028
2.787 -2.787 7.028
2.787 2.787 -7.028
K Rb Ge
1 2 2
Direct
0.000 0.000 0.000
0.250 0.750 0.500
0.750 0.250 0.500
0.418 0.418 0.000
0.582 0.582 0.000

---

GGA-PBE KRb2Ge2, optimized geometry; energy = -1.942 eV/atom; crystal system = tetragonal; total magnetization = 0.21 μB/atom; space group = I4/mmm, No. 139; ΔE_f = 0.5117 eV per atom
1.0
-2.993 2.993 6.398
2.993 -2.993 6.398
2.993 2.993 -6.398
K Rb Ge
1 2 2
Direct
0.000 0.000 0.000
0.367 0.367 0.000
0.633 0.633 0.000
0.250 0.750 0.500
0.750 0.250 0.500